[1]
## YTcAu3 (PBE)

Data for YTcAu3 after structural relaxation.

DOS at the Fermi energy   5.31 states/eV/cell
Calculated formation energy   1.1745 eV per atom
Energy above the lowest structure with this stoichiometry   698 meV/atom

a b c (Å): 5.331 5.331 5.331
angles (deg): 90.00 90.00 90.00
Positions (direct):
Y 0.000 0.000 0.000
Tc 0.500 0.500 0.500
Au 0.000 0.000 0.500
Au 0.000 0.500 0.000
Au 0.500 0.000 0.000

=====

[2]
## BaAgAsSe2 (PBE)

Data for BaAgAsSe2 after structural relaxation.

Formation energy without anion corrections   -198 kJ/mol of formula units
DOS at the Fermi energy   3.60 states/eV/cell
Energy above the lowest structure with this stoichiometry   0 meV/atom

a b c (Å): 5.331 5.331 4.939
angles (deg): 90.00 90.00 90.00
Positions (direct):
Ba 0.000 0.000 0.000
Ag 0.500 0.500 0.500
As 0.500 0.500 0.000
Se 0.000 0.500 0.500
Se 0.500 0.000 0.500

=====

[3]
## Mg5InHg2Pb2 (PBE)

Data for Mg5InHg2Pb2 after structural relaxation.

DOS at the Fermi energy   5.15 states/eV/cell
Calculated formation energy   -0.0798 eV per atom

a b c (Å): 11.725 11.725 3.639
angles (deg): 90.00 90.00 90.00
Positions (direct):
Mg 0.000 0.500 0.000
Mg 0.031 0.206 0.000
Mg 0.206 0.969 0.000
Mg 0.294 0.469 0.000
Mg 0.469 0.706 0.000
Mg 0.500 0.000 0.000
Mg 0.531 0.294 0.000
Mg 0.706 0.531 0.000
Mg 0.794 0.031 0.000
Mg 0.969 0.794 0.000
In 0.000 0.000 0.500
In 0.500 0.500 0.500
Hg 0.133 0.367 0.500
Hg 0.367 0.867 0.500
Hg 0.633 0.133 0.500
Hg 0.867 0.633 0.500
Pb 0.177 0.677 0.500
Pb 0.323 0.177 0.500
Pb 0.677 0.823 0.500
Pb 0.823 0.323 0.500

=====

[4]
## CeYCd3 (PBE)

Data for CeYCd3 after structural relaxation.

DOS at the Fermi energy   18.12 states/eV/cell
Calculated formation energy   -0.2573 eV per atom

a b c (Å): 15.035 15.035 5.033
angles (deg): 90.00 90.00 166.86
Positions (direct):
Ce 0.075 0.925 0.750
Ce 0.925 0.075 0.250
Y 0.215 0.785 0.250
Y 0.785 0.215 0.750
Cd 0.323 0.677 0.250
Cd 0.377 0.623 0.750
Cd 0.476 0.524 0.750
Cd 0.524 0.476 0.250
Cd 0.623 0.377 0.250
Cd 0.677 0.323 0.750

=====

- The highest DOS at the Fermi energy belongs to which entry?
  CeYCd3